Record 1
Density functional theory data (GGA-PBE) for a relaxed structure of AlMo2Cl.

```
AlMo2Cl
1.0
2.8528 0.0000 0.0000
0.0000 4.5947 0.0000
-0.4687 0.0000 4.9503
Al Mo Cl
1 2 1
Direct
0.0000 0.0000 0.0000
0.3353 0.5000 0.7359
0.5787 0.0000 0.5119
0.5011 0.5000 0.2303
```

Output
The calculation puts the energy relative to the lowest polymorph listed for this composition at 260 meV/atom. As for the uncorrected formation energy: 0.30 eV per atom. For the final energy, the calculation gives -6.517 eV/atom. Its space group is No. 6.

=====

Record 2
Density functional theory data (GGA-PBE) for a relaxed structure of CeTlH8Rh2.

```
CeTlH8Rh2
1.0
2.5625 1.4795 5.6313
-2.5625 1.4795 5.6313
0.0000 -2.9590 5.6313
Ce Tl H Rh
1 1 8 2
Direct
0.0000 0.0000 0.0000
0.5000 0.5000 0.5000
0.0262 0.0262 0.6015
0.0262 0.6015 0.0262
0.3039 0.3039 0.3039
0.3985 0.9738 0.9738
0.6015 0.0262 0.0262
0.6961 0.6961 0.6961
0.9738 0.3985 0.9738
0.9738 0.9738 0.3985
0.2039 0.2039 0.2039
0.7961 0.7961 0.7961
```

Output
For the final energy, the calculation gives -4.190 eV/atom. Its space group is No. 166.

=====

Record 3
Density functional theory data (GGA-PBE) for a relaxed structure of MgZn3.

```
MgZn3
1.0
5.3896 0.0000 0.0000
0.0000 5.3896 0.0000
0.0000 0.0000 5.3896
Mg Zn
1 3
Direct
0.0000 0.0000 0.0000
0.0000 0.0000 0.5000
0.0000 0.5000 0.0000
0.5000 0.0000 0.0000
```

Output
For the final energy, the calculation gives -0.666 eV/atom. Its space group is No. 221.

=====

Record 4
Density functional theory data (GGA-PBE) for a relaxed structure of NdTlIn4.

```
NdTlIn4
1.0
0.0000 4.3728 4.3728
4.3728 0.0000 4.3728
4.3728 4.3728 0.0000
Nd Tl In
1 1 4
Direct
0.0000 0.0000 0.0000
0.7500 0.7500 0.7500
0.3750 0.3750 0.3750
0.3750 0.3750 0.8749
0.3750 0.8749 0.3750
0.8749 0.3750 0.3750
```

Output
For the final energy, the calculation gives -3.158 eV/atom. Its space group is No. 216.

=====

Calculated DOS at the Fermi energy in order - 1.9 8.7 2.9 5.2 states/eV/f.u.